# 1
Here is a relaxed structure of TlHg3H from Alexandria via LeMat-Bulk. Energies are from GGA-PBE.

Structure (extended XYZ):
```
5
Lattice="5.991 0.000 0.000 0.000 5.991 0.000 0.000 0.000 5.991" Properties=species:S:1:pos:R:3 pbc="T T T"
Tl 0.000 0.000 0.000
Hg 0.000 0.000 2.996
Hg 0.000 2.996 0.000
Hg 2.996 0.000 0.000
H 2.996 2.996 2.996
```

SG: Pm-3m
Distance to the lowest polymorph of the same formula (meV/atom): 502
D(E_F) (states/eV/f.u.): 1.60
V (Å³/atom): 43.02

# 2
Here is a relaxed structure of UTcP2Ru from Alexandria via LeMat-Bulk. Energies are from GGA-PBE.

Structure (extended XYZ):
```
5
Lattice="-2.045 2.045 4.733 2.045 -2.045 4.733 2.045 2.045 -4.733" Properties=species:S:1:pos:R:3 pbc="T T T"
U 0.000 0.000 0.000
Tc 0.000 2.045 2.366
P 0.000 0.000 3.571
P 0.000 0.000 5.894
Ru 2.045 0.000 2.366
```

SG: I-4m2
D(E_F) (states/eV/f.u.): 5.65
Raw total energy (eV for the cell shown): -45.40
V (Å³/atom): 15.84

# 3
Here is a relaxed structure of CsNa2Zn from Alexandria via LeMat-Bulk. Energies are from GGA-PBE.

Structure (extended XYZ):
```
4
Lattice="2.762 1.594 6.873 -2.762 1.594 6.873 0.000 -3.189 6.873" Properties=species:S:1:pos:R:3 pbc="T T T"
Cs 0.000 0.000 0.000
Na 0.000 0.000 4.037
Na 0.000 0.000 9.889
Zn 0.000 0.000 16.609
```

SG: R3m
D(E_F) (states/eV/f.u.): 2.75
Raw total energy (eV for the cell shown): -4.37
V (Å³/atom): 45.40

# 4
Here is a relaxed structure of Mn2C3 from Alexandria via LeMat-Bulk. Energies are from GGA-PBE.

Structure (extended XYZ):
```
10
Lattice="0.000 5.068 1.968 4.393 0.000 1.968 4.393 5.068 0.000" Properties=species:S:1:pos:R:3 pbc="T T T"
Mn 5.264 2.089 1.968
Mn 5.718 4.623 2.952
Mn 3.522 8.047 1.968
Mn 3.067 5.513 2.952
C 5.563 5.410 0.818
C 3.366 2.192 1.802
C 3.223 4.726 0.818
C 4.393 5.068 1.565
C 5.420 7.944 1.802
C 6.589 7.602 2.549
```

SG: Fdd2
Distance to the lowest polymorph of the same formula (meV/atom): 159
D(E_F) (states/eV/f.u.): 3.59
V (Å³/atom): 8.76

# 5
Here is a relaxed structure of La8Ir3SeI4 from Alexandria via LeMat-Bulk. Energies are from GGA-PBE.

Structure (extended XYZ):
```
16
Lattice="4.328 2.499 8.128 -4.328 2.499 8.128 0.000 -4.998 8.128" Properties=species:S:1:pos:R:3 pbc="T T T"
La -2.287 -1.321 13.732
La 0.000 0.000 5.579
La 0.000 -2.641 10.653
La -2.287 1.321 10.653
La 2.287 -1.321 13.732
La 0.000 2.641 13.732
La 0.000 0.000 18.807
La 2.287 1.321 10.653
Ir -4.328 0.000 12.193
Ir -2.164 1.249 4.064
Ir 2.164 1.249 4.064
Se 0.000 0.000 12.193
I 0.000 0.000 0.000
I -2.164 -1.249 8.128
I -2.164 1.249 16.257
I 0.000 2.499 8.128
```

SG: R-3m
D(E_F) (states/eV/f.u.): 9.63
Raw formation energy (eV per atom): -1.182
V (Å³/atom): 32.97

# 6
Here is a relaxed structure of Pm2AlPd6 from Alexandria via LeMat-Bulk. Energies are from GGA-PBE.

Structure (extended XYZ):
```
9
Lattice="2.916 1.684 5.750 -2.916 1.684 5.750 0.000 -3.367 5.750" Properties=species:S:1:pos:R:3 pbc="T T T"
Pm 0.000 0.000 3.998
Pm 0.000 0.000 13.251
Al 0.000 0.000 8.625
Pd 0.000 -1.730 6.881
Pd -1.499 0.865 6.881
Pd -1.499 -0.865 10.369
Pd 1.499 0.865 6.881
Pd 1.499 -0.865 10.369
Pd 0.000 1.730 10.369
```

SG: R-3m
Distance to the lowest polymorph of the same formula (meV/atom): 0
D(E_F) (states/eV/f.u.): 2.47
V (Å³/atom): 18.82

Q: Which of these has the lowest D(E_F)?
A: TlHg3H

Q: The lowest D(E_F) belongs to which entry?
A: TlHg3H